VASP calculation (PBE+U) on a relaxed TeMoN2O crystal.

a b c (Å): 4.1204 4.1204 3.8606
angles (deg): 90.00 90.00 90.00
Last column: nearest neighbours and their distance in Å.
Fractional positions:
Te 0.0000 0.0000 0.0000  8 N 2.82, 4 O 2.91
Mo 0.5000 0.5000 0.5000  2 O 1.93, 4 N 2.06
N 0.0000 0.5000 0.5000  2 Mo 2.06
N 0.5000 0.0000 0.5000  2 Mo 2.06
O 0.5000 0.5000 0.0000  2 Mo 1.93

Values from the calculation:
Its crystal system is tetragonal. For the calculated total energy, the calculation gives -5.851 eV/atom.